DFT (PBEsol) results for a relaxed Nb2AgH crystal.

Results
spin magnetization: 0.000 μB/cell
uncorrected energy: -25.21 eV per formula unit

Lattice parameters (Å, degrees): 4.3878 4.3878 4.3878 60.00 60.00 60.00
Positions (direct):
1 H 0.0000 0.0000 0.0000
2 Ag 0.5000 0.5000 0.5000
3 Nb 0.7500 0.7500 0.7500
4 Nb 0.2500 0.2500 0.2500

DFT (PBEsol) results for a relaxed NbAgH3 crystal.

Results
spin magnetization: 0.000 μB/cell
uncorrected energy: -21.40 eV per formula unit

Lattice parameters (Å, degrees): 3.5243 3.5243 3.5243 90.00 90.00 90.00
Positions (direct):
1 H 0.5000 0.0000 0.0000
2 H 0.0000 0.0000 0.5000
3 H 0.0000 0.5000 0.0000
4 Ag 0.0000 0.0000 0.0000
5 Nb 0.5000 0.5000 0.5000

DFT (PBEsol) results for a relaxed Nb3AgH crystal.

Results
spin magnetization: 0.001 μB/cell
uncorrected energy: -38.77 eV per formula unit

Lattice parameters (Å, degrees): 4.1506 4.1506 4.1506 90.00 90.00 90.00
Positions (direct):
1 Nb 0.5000 0.0000 0.0000
2 Nb 0.0000 0.5000 0.0000
3 Nb 0.0000 0.0000 0.5000
4 Ag 0.5000 0.5000 0.5000
5 H 0.0000 0.0000 0.0000

DFT (PBEsol) results for a relaxed NiAgH2 crystal.

Results
spin magnetization: 0.000 μB/cell
uncorrected energy: -13.96 eV per formula unit

Lattice parameters (Å, degrees): 3.6132 3.6132 3.6132 60.00 60.00 60.00
Positions (direct):
1 Ag 0.5000 0.5000 0.5000
2 Ni 0.0000 0.0000 0.0000
3 H 0.7500 0.7500 0.7500
4 H 0.2500 0.2500 0.2500

Number 1: D(E_F) 2.4 states/eV/f.u.. Number 2: D(E_F) 1.7 states/eV/f.u.. Number 3: D(E_F) 5.8 states/eV/f.u.. Number 4: D(E_F) 0.9 states/eV/f.u..